Here is an optimized crystal structure of Ac2Te3O10 from the Alexandria database. Energies are from GGA-PBE.

a = 18.1059 Å, b = 5.9847 Å, c = 9.5022 Å
α = 90.00°, β = 109.92°, γ = 90.00°
Space group C2/m (No. 12)
Inequivalent atoms, fractional coordinates:
1 Ac 0.1113 0.0000 0.1564 x4
2 Ac 0.2150 0.0000 0.8250 x4
3 Te 0.0000 0.2486 0.5000 x4
4 Te 0.0859 0.5000 0.9606 x4
5 Te 0.1831 0.5000 0.5320 x4
6 O 0.0000 0.2445 0.0000 x4
7 O 0.0154 0.0000 0.3689 x4
8 O 0.0165 0.5000 0.3757 x4
9 O 0.1094 0.2449 0.6117 x8
10 O 0.1333 0.5000 0.1771 x4
11 O 0.1638 0.2427 0.9826 x8
12 O 0.2419 0.5000 0.7383 x4
13 O 0.2500 0.2500 0.5000 x4

E_form (uncorrected) = -1.818 eV/atom
VASP energy = -6.300 eV/atom

---

Here is an optimized crystal structure of YbTlCd from the Alexandria database. Energies are from GGA-PBE.

a = 5.1129 Å, b = 5.1129 Å, c = 3.5427 Å
α = 90.00°, β = 90.00°, γ = 120.00°
Space group P-6m2 (No. 187)
Inequivalent atoms, fractional coordinates:
1 Yb 0.0000 0.0000 0.0000 x1
2 Tl 0.3333 0.6667 0.5000 x1
3 Cd 0.6667 0.3333 0.5000 x1

ΔH_f (0 K) = -0.325 eV per atom
VASP energy = -1.928 eV/atom

---

Here is an optimized crystal structure of CuAsI2N from the Alexandria database. Energies are from GGA-PBE.

a = 5.4327 Å, b = 5.4327 Å, c = 3.6768 Å
α = 90.00°, β = 90.00°, γ = 90.00°
Space group P4/mmm (No. 123)
Inequivalent atoms, fractional coordinates:
1 Cu 0.0000 0.0000 0.0000 x1
2 As 0.5000 0.5000 0.0000 x1
3 I 0.0000 0.5000 0.5000 x2
4 N 0.0000 0.0000 0.5000 x1

E_form (uncorrected) = 0.908 eV/atom
Excess energy over the best structure of this formula in the dataset = 12 meV per atom
VASP energy = -3.126 eV/atom

---

Here is an optimized crystal structure of CaSnRh2 from the Alexandria database. Energies are from GGA-PBE.

a = 7.3582 Å, b = 7.3582 Å, c = 6.2232 Å
α = 90.00°, β = 90.00°, γ = 90.00°
Space group I-42d (No. 122)
Inequivalent atoms, fractional coordinates:
1 Ca 0.0000 0.0000 0.0000 x4
2 Sn 0.0000 0.0000 0.5000 x4
3 Rh 0.2153 0.2500 0.6250 x8

ΔH_f (0 K) = -0.113 eV per atom
VASP energy = -5.290 eV/atom

---

Here is an optimized crystal structure of Pm3Si2Ni from the Alexandria database. Energies are from GGA-PBE.

a = 11.6142 Å, b = 4.2106 Å, c = 11.5886 Å
α = 90.00°, β = 90.00°, γ = 90.00°
Space group Pnma (No. 62)
Inequivalent atoms, fractional coordinates:
1 Pm 0.0603 0.2500 0.1237 x4
2 Pm 0.1162 0.7500 0.5589 x4
3 Pm 0.2112 0.2500 0.8038 x4
4 Si 0.0295 0.7500 0.3132 x4
5 Si 0.1994 0.7500 0.9915 x4
6 Ni 0.1296 0.2500 0.3648 x4

E_form (uncorrected) = -0.668 eV/atom
Excess energy over the best structure of this formula in the dataset = 0 meV per atom
VASP energy = -5.815 eV/atom

---

Here is an optimized crystal structure of ReP2Br from the Alexandria database. Energies are from GGA-PBE.

a = 3.1348 Å, b = 3.1348 Å, c = 25.9199 Å
α = 90.00°, β = 90.00°, γ = 120.00°
Space group R-3m (No. 166, hexagonal axes)
Inequivalent atoms, fractional coordinates:
1 Re 0.0000 0.0000 0.0000 x3
2 P 0.0000 0.0000 0.2699 x6
3 Br 0.0000 0.0000 0.5000 x3

E_form (uncorrected) = 0.129 eV/atom
Excess energy over the best structure of this formula in the dataset = 100 meV per atom
VASP energy = -6.106 eV/atom

---

Here is an optimized crystal structure of Sb2AsBr from the Alexandria database. Energies are from GGA-PBE.

a = 3.6578 Å, b = 3.6578 Å, c = 7.7409 Å
α = 90.00°, β = 90.00°, γ = 90.00°
Space group P4/mmm (No. 123)
Inequivalent atoms, fractional coordinates:
1 Sb 0.0000 0.0000 0.2012 x2
2 As 0.5000 0.5000 0.0000 x1
3 Br 0.5000 0.5000 0.5000 x1

E_form (uncorrected) = 0.046 eV/atom
Excess energy over the best structure of this formula in the dataset = 99 meV per atom
VASP energy = -3.596 eV/atom

---

Here is an optimized crystal structure of Zn2TcO2 from the Alexandria database. Energies are from GGA-PBE.

a = 6.6623 Å, b = 6.6623 Å, c = 2.6340 Å
α = 90.00°, β = 90.00°, γ = 90.00°
Space group P4/mbm (No. 127)
Inequivalent atoms, fractional coordinates:
1 Zn 0.1356 0.3644 0.0000 x4
2 Tc 0.0000 0.0000 0.0000 x2
3 O 0.1512 0.6512 0.5000 x4

E_form (uncorrected) = 0.208 eV/atom
Excess energy over the best structure of this formula in the dataset = 297 meV per atom
VASP energy = -4.358 eV/atom